# 1
Density functional theory data (PBE-GGA) for crystalline BaRu2Au at its relaxed geometry.

Unit cell a=4.852 b=4.852 c=4.852 alpha=60.00 beta=60.00 gamma=60.00
Fractional positions:
Ba1 0.000 0.000 0.000
Ru1 0.250 0.250 0.250
Ru2 0.750 0.750 0.750
Au1 0.500 0.500 0.500

* ΔH_f (0 K): 0.925 eV/atom
* N(E_F): 0.90 states/eV per atom
* V: 80.77 Å³ per cell
* ΔE to the lowest computed polymorph: 18.33 kcal/mol of atoms
* raw total energy: -20.052 eV per cell
* symmetry: Fm-3m

# 2
Density functional theory data (PBE-GGA) for crystalline KInGe at its relaxed geometry.

Unit cell a=6.256 b=6.256 c=10.274 alpha=90.00 beta=90.00 gamma=120.00
Fractional positions:
K1 0.333 0.667 0.250
K2 0.667 0.333 0.750
In1 0.000 0.000 0.250
In2 0.000 0.000 0.750
Ge1 0.000 0.000 0.000
Ge2 0.000 0.000 0.500

* ΔH_f (0 K): 0.469 eV/atom
* N(E_F): 0.80 states/eV per atom
* V: 348.18 Å³ per cell
* raw total energy: -14.093 eV per cell
* symmetry: P6_3/mmc

# 3
Density functional theory data (PBE-GGA) for crystalline Nd2MnCd at its relaxed geometry.

Unit cell a=5.338 b=5.338 c=5.338 alpha=60.00 beta=60.00 gamma=60.00
Fractional positions:
Nd1 0.250 0.250 0.250
Nd2 0.750 0.750 0.750
Mn1 0.000 0.000 0.000
Cd1 0.500 0.500 0.500

* ΔH_f (0 K): 0.015 eV/atom
* N(E_F): 1.15 states/eV per atom
* V: 107.54 Å³ per cell
* ΔE to the lowest computed polymorph: 0.70 kcal/mol of atoms
* raw total energy: -19.562 eV per cell
* symmetry: Fm-3m

# 4
Density functional theory data (PBE-GGA) for crystalline GaI3O at its relaxed geometry.

Unit cell a=5.643 b=5.643 c=5.643 alpha=90.00 beta=90.00 gamma=90.00
Fractional positions:
Ga1 0.000 0.000 0.000
I1 0.000 0.000 0.500
I2 0.000 0.500 0.000
I3 0.500 0.000 0.000
O1 0.500 0.500 0.500

* N(E_F): 1.91 states/eV per atom
* V: 179.68 Å³ per cell
* ΔE to the lowest computed polymorph: 7.18 kcal/mol of atoms
* formation energy (no corrections): 514 meV per atom
* raw total energy: -10.066 eV per cell
* symmetry: Pm-3m

# 5
Density functional theory data (PBE-GGA) for crystalline TaSbOsC2 at its relaxed geometry.

Unit cell a=4.119 b=4.119 c=5.203 alpha=90.00 beta=90.00 gamma=90.00
Fractional positions:
Ta1 0.000 0.000 0.000
Sb1 0.500 0.500 0.500
Os1 0.000 0.000 0.500
C1 0.000 0.500 0.000
C2 0.500 0.000 0.000

* N(E_F): 1.17 states/eV per atom
* V: 88.29 Å³ per cell
* formation energy (no corrections): 1813 meV per atom
* raw total energy: -36.589 eV per cell
* symmetry: P4/mmm

# 6
Density functional theory data (PBE-GGA) for crystalline Pr3DyEr7 at its relaxed geometry.

Unit cell a=6.502 b=6.679 c=8.593 alpha=99.44 beta=98.30 gamma=95.21
Fractional positions:
Pr1 0.000 0.000 0.000
Pr2 0.198 0.562 0.164
Pr3 0.802 0.438 0.836
Dy1 0.500 0.000 0.500
Er1 0.013 0.768 0.580
Er2 0.280 0.275 0.786
Er3 0.438 0.791 0.854
Er4 0.500 0.500 0.500
Er5 0.562 0.209 0.146
Er6 0.720 0.725 0.214
Er7 0.987 0.232 0.420

* ΔH_f (0 K): 0.124 eV/atom
* N(E_F): 1.59 states/eV per atom
* V: 361.76 Å³ per cell
* ΔE to the lowest computed polymorph: 0.00 kcal/mol of atoms
* raw total energy: -49.515 eV per cell
* symmetry: P-1

# 7
Density functional theory data (PBE-GGA) for crystalline Er2Al3Au4 at its relaxed geometry.

Unit cell a=8.350 b=8.350 c=7.678 alpha=90.00 beta=90.00 gamma=139.53
Fractional positions:
Er1 0.104 0.896 0.903
Er2 0.396 0.604 0.403
Er3 0.604 0.396 0.597
Er4 0.896 0.104 0.097
Al1 0.000 0.000 0.500
Al2 0.019 0.481 0.750
Al3 0.481 0.019 0.250
Al4 0.500 0.500 0.000
Al5 0.519 0.981 0.750
Al6 0.981 0.519 0.250
Au1 0.178 0.822 0.528
Au2 0.190 0.310 0.750
Au3 0.310 0.190 0.250
Au4 0.322 0.678 0.028
Au5 0.678 0.322 0.972
Au6 0.690 0.810 0.750
Au7 0.810 0.690 0.250
Au8 0.822 0.178 0.472

* ΔH_f (0 K): -0.695 eV/atom
* N(E_F): 0.45 states/eV per atom
* V: 347.50 Å³ per cell
* ΔE to the lowest computed polymorph: 0.22 kcal/mol of atoms
* raw total energy: -79.429 eV per cell
* symmetry: Cmce

# 8
Density functional theory data (PBE-GGA) for crystalline TlPAuCl2 at its relaxed geometry.

Unit cell a=5.272 b=5.272 c=5.397 alpha=90.00 beta=90.00 gamma=90.00
Fractional positions:
Tl1 0.000 0.000 0.000
P1 0.000 0.000 0.500
Au1 0.500 0.500 0.500
Cl1 0.000 0.500 0.000
Cl2 0.500 0.000 0.000

* N(E_F): 0.51 states/eV per atom
* V: 150.02 Å³ per cell
* ΔE to the lowest computed polymorph: 13.22 kcal/mol of atoms
* formation energy (no corrections): 582 meV per atom
* raw total energy: -11.839 eV per cell
* symmetry: P4/mmm

# 9
Density functional theory data (PBE-GGA) for crystalline ScAgSb2 at its relaxed geometry.

Unit cell a=4.021 b=4.598 c=4.911 alpha=90.00 beta=90.00 gamma=90.00
Fractional positions:
Sc1 0.000 0.000 0.000
Ag1 0.000 0.500 0.500
Sb1 0.500 0.000 0.500
Sb2 0.500 0.500 0.000

* N(E_F): 0.56 states/eV per atom
* V: 90.81 Å³ per cell
* formation energy (no corrections): -345 meV per atom
* raw total energy: -18.806 eV per cell
* symmetry: Pmmm

# 10
Density functional theory data (PBE-GGA) for crystalline Na2GeSe3 at its relaxed geometry.

Unit cell a=7.042 b=7.042 c=8.235 alpha=104.73 beta=104.73 gamma=60.14
Fractional positions:
Na1 0.019 0.673 0.874
Na2 0.327 0.981 0.626
Na3 0.673 0.019 0.374
Na4 0.981 0.327 0.126
Ge1 0.403 0.597 0.250
Ge2 0.597 0.403 0.750
Se1 0.079 0.921 0.250
Se2 0.285 0.409 0.573
Se3 0.409 0.285 0.073
Se4 0.591 0.715 0.927
Se5 0.715 0.591 0.427
Se6 0.921 0.079 0.750

* N(E_F): 0.00 states/eV per atom
* V: 338.52 Å³ per cell
* ΔE to the lowest computed polymorph: 1.97 kcal/mol of atoms
* formation energy (no corrections): -680 meV per atom
* raw total energy: -43.576 eV per cell
* symmetry: C2/c

# 11
Density functional theory data (PBE-GGA) for crystalline Zr2N2O at its relaxed geometry.

Unit cell a=5.588 b=5.588 c=10.456 alpha=106.22 beta=106.22 gamma=59.15
Fractional positions:
Zr1 0.057 0.057 0.162
Zr2 0.208 0.196 0.588
Zr3 0.297 0.284 0.913
Zr4 0.453 0.425 0.339
Zr5 0.575 0.547 0.661
Zr6 0.716 0.703 0.087
Zr7 0.804 0.792 0.412
Zr8 0.943 0.943 0.838
N1 0.033 0.461 0.251
N2 0.290 0.004 0.003
N3 0.486 0.213 0.494
N4 0.539 0.967 0.749
N5 0.738 0.053 0.242
N6 0.787 0.514 0.506
N7 0.947 0.262 0.758
N8 0.996 0.710 0.997
O1 0.177 0.823 0.500
O2 0.239 0.567 0.740
O3 0.433 0.761 0.260
O4 0.687 0.313 0.000

* N(E_F): 0.00 states/eV per atom
* V: 265.39 Å³ per cell
* formation energy (no corrections): -1978 meV per atom
* raw total energy: -194.372 eV per cell
* symmetry: C2

# 12
Density functional theory data (PBE-GGA) for crystalline BaTcTe2 at its relaxed geometry.

Unit cell a=8.144 b=8.144 c=8.144 alpha=129.60 beta=129.60 gamma=74.05
Fractional positions:
Ba1 0.000 0.000 0.000
Ba2 0.750 0.250 0.500
Tc1 0.250 0.750 0.500
Tc2 0.500 0.500 0.000
Te1 0.227 0.625 0.102
Te2 0.375 0.477 0.602
Te3 0.523 0.125 0.898
Te4 0.875 0.773 0.398

* N(E_F): 1.30 states/eV per atom
* V: 312.71 Å³ per cell
* ΔE to the lowest computed polymorph: 5.32 kcal/mol of atoms
* formation energy (no corrections): -280 meV per atom
* raw total energy: -39.383 eV per cell
* symmetry: I-42d

# 13
Density functional theory data (PBE-GGA) for crystalline Si2SbCl at its relaxed geometry.

Unit cell a=9.386 b=9.386 c=9.386 alpha=19.91 beta=19.91 gamma=19.91
Fractional positions:
Si1 0.245 0.245 0.245
Si2 0.755 0.755 0.755
Sb1 0.000 0.000 0.000
Cl1 0.500 0.500 0.500

* N(E_F): 0.13 states/eV per atom
* V: 83.90 Å³ per cell
* ΔE to the lowest computed polymorph: 13.71 kcal/mol of atoms
* formation energy (no corrections): 474 meV per atom
* raw total energy: -14.918 eV per cell
* symmetry: R-3m

# 14
Density functional theory data (PBE-GGA) for crystalline Nd12Ag6Au at its relaxed geometry.

Unit cell a=8.148 b=8.148 c=8.148 alpha=88.98 beta=88.98 gamma=88.98
Fractional positions:
Nd1 0.038 0.305 0.951
Nd2 0.049 0.962 0.695
Nd3 0.143 0.361 0.492
Nd4 0.305 0.951 0.038
Nd5 0.361 0.492 0.143
Nd6 0.492 0.143 0.361
Nd7 0.508 0.857 0.639
Nd8 0.639 0.508 0.857
Nd9 0.695 0.049 0.962
Nd10 0.857 0.639 0.508
Nd11 0.951 0.038 0.305
Nd12 0.962 0.695 0.049
Ag1 0.229 0.763 0.389
Ag2 0.237 0.611 0.771
Ag3 0.389 0.229 0.763
Ag4 0.611 0.771 0.237
Ag5 0.763 0.389 0.229
Ag6 0.771 0.237 0.611
Au1 0.500 0.500 0.500

* ΔH_f (0 K): -0.099 eV/atom
* N(E_F): 1.20 states/eV per atom
* V: 540.62 Å³ per cell
* raw total energy: -79.484 eV per cell
* symmetry: R-3

# 15
Density functional theory data (PBE-GGA) for crystalline Cs3HoCu2Cl9 at its relaxed geometry.

Unit cell a=7.316 b=7.316 c=9.026 alpha=90.00 beta=90.00 gamma=120.00
Fractional positions:
Cs1 0.000 0.000 0.000
Cs2 0.333 0.667 0.671
Cs3 0.667 0.333 0.329
Ho1 0.000 0.000 0.500
Cu1 0.333 0.667 0.129
Cu2 0.667 0.333 0.871
Cl1 0.000 0.500 0.000
Cl2 0.169 0.339 0.331
Cl3 0.169 0.831 0.331
Cl4 0.339 0.169 0.669
Cl5 0.500 0.000 0.000
Cl6 0.500 0.500 0.000
Cl7 0.661 0.831 0.331
Cl8 0.831 0.169 0.669
Cl9 0.831 0.661 0.669

* N(E_F): 0.17 states/eV per atom
* V: 418.40 Å³ per cell
* formation energy (no corrections): -1583 meV per atom
* raw total energy: -55.695 eV per cell
* symmetry: P-3m1

# 16
Density functional theory data (PBE-GGA) for crystalline RbSn2Se3 at its relaxed geometry.

Unit cell a=7.636 b=7.636 c=7.552 alpha=90.00 beta=90.00 gamma=60.50
Fractional positions:
Rb1 0.018 0.982 0.750
Rb2 0.982 0.018 0.250
Sn1 0.332 0.332 0.000
Sn2 0.332 0.332 0.500
Sn3 0.668 0.668 0.000
Sn4 0.668 0.668 0.500
Se1 0.001 0.430 0.750
Se2 0.430 0.001 0.250
Se3 0.449 0.551 0.750
Se4 0.551 0.449 0.250
Se5 0.570 0.999 0.750
Se6 0.999 0.570 0.250

* N(E_F): 0.50 states/eV per atom
* V: 383.23 Å³ per cell
* ΔE to the lowest computed polymorph: 1.51 kcal/mol of atoms
* formation energy (no corrections): -536 meV per atom
* raw total energy: -45.287 eV per cell
* symmetry: Cmcm

# 17
Density functional theory data (PBE-GGA) for crystalline LiCaNiSn2 at its relaxed geometry.

Unit cell a=4.945 b=4.945 c=4.776 alpha=90.00 beta=90.00 gamma=90.00
Fractional positions:
Li1 0.000 0.000 0.000
Ca1 0.500 0.500 0.000
Ni1 0.000 0.000 0.500
Sn1 0.000 0.500 0.500
Sn2 0.500 0.000 0.500

* ΔH_f (0 K): -0.288 eV/atom
* N(E_F): 0.48 states/eV per atom
* V: 116.79 Å³ per cell
* raw total energy: -19.141 eV per cell
* symmetry: P4/mmm

# 18
Density functional theory data (PBE-GGA) for crystalline NaDy2HoSe4 at its relaxed geometry.

Unit cell a=7.107 b=4.064 c=7.107 alpha=90.00 beta=108.99 gamma=90.00
Fractional positions:
Na1 0.000 0.000 0.000
Dy1 0.500 0.000 0.500
Dy2 0.500 0.500 0.000
Ho1 0.000 0.500 0.500
Se1 0.249 0.000 0.749
Se2 0.253 0.500 0.254
Se3 0.747 0.500 0.746
Se4 0.751 0.000 0.251

* N(E_F): 0.33 states/eV per atom
* V: 194.12 Å³ per cell
* formation energy (no corrections): -1724 meV per atom
* raw total energy: -42.831 eV per cell
* symmetry: P2/m

# 19
Density functional theory data (PBE-GGA) for crystalline Ho2ScTe3 at its relaxed geometry.

Unit cell a=7.410 b=7.410 c=7.410 alpha=146.29 beta=131.80 gamma=60.10
Fractional positions:
Ho1 0.173 0.173 0.000
Ho2 0.827 0.827 0.000
Sc1 0.500 0.500 0.000
Te1 0.000 0.500 0.500
Te2 0.342 0.842 0.500
Te3 0.658 0.158 0.500

* N(E_F): 0.58 states/eV per atom
* V: 166.75 Å³ per cell
* formation energy (no corrections): -1191 meV per atom
* raw total energy: -32.060 eV per cell
* symmetry: Immm

# 20
Density functional theory data (PBE-GGA) for crystalline SmErMnIn at its relaxed geometry.

Unit cell a=5.230 b=5.230 c=5.230 alpha=60.00 beta=60.00 gamma=60.00
Fractional positions:
Sm1 0.000 0.000 0.000
Er1 0.500 0.500 0.500
Mn1 0.250 0.250 0.250
In1 0.750 0.750 0.750

* ΔH_f (0 K): -0.086 eV/atom
* N(E_F): 1.15 states/eV per atom
* V: 101.15 Å³ per cell
* raw total energy: -21.534 eV per cell
* symmetry: F-43m